## 1
Computed, not measured: crystalline DyCo4 at its relaxed geometry at the PBE-GGA level of DFT.

The value obtained for the volume is 18.76 Å³/atom.

The space group is Pm-3m (No. 221) and the conventional cell measures 4.543, 4.543 and 4.543 Å, with angles of 90.00, 90.00 and 90.00 degrees. The asymmetric unit holds Dy at (0.000, 0.000, 0.000), Co at (0.000, 0.000, 0.500) and Co at (0.500, 0.500, 0.500).

=====

## 2
Computed, not measured: crystalline DyCo4 at its relaxed geometry at the PBE-GGA level of DFT.

The value obtained for the volume is 14.69 Å³/atom.

The space group is I4/mmm (No. 139) and the conventional cell measures 3.892, 3.892 and 9.698 Å, with angles of 90.00, 90.00 and 90.00 degrees. The asymmetric unit holds Dy at (0.000, 0.000, 0.000), Co at (0.000, 0.000, 0.383) and Co at (0.000, 0.500, 0.250).

=====

Stability comparison, relative energies in meV/atom: 1 1985; 2 0

=====

## 1
Computed, not measured: crystalline Dy3Co2 at its relaxed geometry at the PBE-GGA level of DFT.

The value obtained for the volume is 23.13 Å³/atom.

The space group is R-3c (No. 167, hexagonal axes) and the conventional cell measures 6.6285, 6.6285 and 18.2324 Å, with angles of 90.00, 90.00 and 120.00 degrees. The asymmetric unit holds Dy at (0.0000, 0.3542, 0.2500) and Co at (0.0000, 0.0000, 0.1787).

=====

## 2
Computed, not measured: crystalline Dy3Co2 at its relaxed geometry at the PBE-GGA level of DFT.

The value obtained for the volume is 22.19 Å³/atom.

The space group is Cmmm (No. 65) and the conventional cell measures 3.911, 14.561 and 3.897 Å, with angles of 90.00, 90.00 and 90.00 degrees. The asymmetric unit holds Dy at (0.000, 0.000, 0.000), Dy at (0.000, 0.349, 0.500) and Co at (0.000, 0.202, 0.000).

=====

Stability comparison, relative energies in meV/atom: 1 32; 2 0

=====

## 1
Computed, not measured: crystalline DyErCo at its relaxed geometry at the PBE-GGA level of DFT.

The value obtained for the volume is 23.44 Å³/atom.

The space group is C2/m (No. 12) and the conventional cell measures 12.993, 3.347 and 6.696 Å, with angles of 90.00, 104.97 and 90.00 degrees. The asymmetric unit holds Dy at (0.129, 0.000, 0.065), Er at (0.128, 0.000, 0.564) and Co at (0.000, 0.500, 0.253).

=====

## 2
Computed, not measured: crystalline DyErCo at its relaxed geometry at the PBE-GGA level of DFT.

The value obtained for the volume is 23.89 Å³/atom.

The space group is F-43m (No. 216) and the conventional cell measures 6.594, 6.594 and 6.594 Å, with angles of 90.00, 90.00 and 90.00 degrees. The asymmetric unit holds Dy at (0.000, 0.000, 0.000), Er at (0.000, 0.000, 0.500) and Co at (0.250, 0.250, 0.750).

=====

## 3
Computed, not measured: crystalline DyErCo at its relaxed geometry at the PBE-GGA level of DFT.

The value obtained for the volume is 26.23 Å³/atom.

The space group is P3m1 (No. 156) and the conventional cell measures 3.8367, 3.8367 and 6.1717 Å, with angles of 90.00, 90.00 and 120.00 degrees. The asymmetric unit holds Dy at (0.0000, 0.0000, 0.0000), Er at (0.3333, 0.6667, 0.4650) and Co at (0.6667, 0.3333, 0.2341).

=====

Stability comparison, relative energies in meV/atom: 1 0; 2 61; 3 71

=====

## 1
Computed, not measured: crystalline Dy3ErCo at its relaxed geometry at the PBE-GGA level of DFT.

The value obtained for the volume is 27.60 Å³/atom.

The space group is C2/m (No. 12) and the conventional cell measures 11.534, 8.272 and 8.100 Å, with angles of 90.00, 134.42 and 90.00 degrees. The asymmetric unit holds Dy at (0.048, 0.000, 0.341), Dy at (0.249, 0.298, 0.793), Er at (0.047, 0.500, 0.252) and Co at (0.250, 0.000, 0.872).

=====

## 2
Computed, not measured: crystalline Dy3ErCo at its relaxed geometry at the PBE-GGA level of DFT.

The value obtained for the volume is 29.10 Å³/atom.

The space group is Pm-3m (No. 221) and the conventional cell measures 5.259, 5.259 and 5.259 Å, with angles of 90.00, 90.00 and 90.00 degrees. The asymmetric unit holds Dy at (0.000, 0.000, 0.500), Er at (0.500, 0.500, 0.500) and Co at (0.000, 0.000, 0.000).

=====

## 3
Computed, not measured: crystalline Dy3ErCo at its relaxed geometry at the PBE-GGA level of DFT.

The value obtained for the volume is 26.65 Å³/atom.

The space group is P2_1/c (No. 14) and the conventional cell measures 7.740, 7.228 and 9.982 Å, with angles of 90.00, 107.38 and 90.00 degrees. The asymmetric unit holds Dy at (0.082, 0.205, 0.030), Dy at (0.288, 0.008, 0.381), Dy at (0.415, 0.628, 0.607), Er at (0.190, 0.554, 0.257) and Co at (0.455, 0.245, 0.609).

=====

Stability comparison, relative energies in meV/atom: 1 0; 2 123; 3 93

=====

## 1
Computed, not measured: crystalline DyEr2Co2 at its relaxed geometry at the PBE-GGA level of DFT.

The value obtained for the volume is 21.12 Å³/atom.

The space group is P4/mbm (No. 127) and the conventional cell measures 7.136, 7.136 and 4.149 Å, with angles of 90.00, 90.00 and 90.00 degrees. The asymmetric unit holds Dy at (0.000, 0.000, 0.000), Er at (0.172, 0.328, 0.500) and Co at (0.112, 0.612, 0.000).

=====

## 2
Computed, not measured: crystalline DyEr2Co2 at its relaxed geometry at the PBE-GGA level of DFT.

The value obtained for the volume is 21.98 Å³/atom.

The space group is C2/m (No. 12) and the conventional cell measures 11.189, 3.703 and 5.457 Å, with angles of 90.00, 103.63 and 90.00 degrees. The asymmetric unit holds Dy at (0.000, 0.000, 0.000), Er at (0.149, 0.500, 0.582) and Co at (0.217, 0.500, 0.105).

=====

Stability comparison, relative energies in meV/atom: 1 0; 2 75

=====

## 1
Computed, not measured: crystalline Dy3ErCo2 at its relaxed geometry at the PBE-GGA level of DFT.

The value obtained for the volume is 24.29 Å³/atom.

The space group is C2/m (No. 12) and the conventional cell measures 16.348, 3.741 and 11.483 Å, with angles of 90.00, 123.90 and 90.00 degrees. The asymmetric unit holds Dy at (0.084, 0.000, 0.439), Dy at (0.084, 0.000, 0.942), Dy at (0.160, 0.500, 0.747), Er at (0.160, 0.500, 0.248), Co at (0.233, 0.500, 0.049) and Co at (0.233, 0.500, 0.548).

=====

## 2
Computed, not measured: crystalline Dy3ErCo2 at its relaxed geometry at the PBE-GGA level of DFT.

The value obtained for the volume is 24.59 Å³/atom.

The space group is Ibam (No. 72) and the conventional cell measures 6.518, 13.147 and 6.889 Å, with angles of 90.00, 90.00 and 90.00 degrees. The asymmetric unit holds Dy at (0.000, 0.000, 0.250), Dy at (0.000, 0.265, 0.250), Er at (0.000, 0.500, 0.000) and Co at (0.221, 0.136, 0.000).

=====

Stability comparison, relative energies in meV/atom: 1 0; 2 91